Material: KNdV2O8
Method: DFT, GGA+U
State: relaxed

Calculated values
Its space group is P-3m1. For the spin magnetization, the calculation gives 2.02 μB/f.u. The total energy is -6.96 eV per atom. The calculation puts the calculated density at 2.83 g/cm3. The calculation puts the density of states at the Fermi level at 12.171 states/eV per cell.

Unit cell a=5.982 b=5.982 c=7.827 alpha=90.00 beta=90.00 gamma=120.00
Each line ends with the local moment (μB).
Positions (direct):
O1 0.826 0.652 0.194  0.20
O2 0.826 0.174 0.194  0.20
O3 0.348 0.174 0.194  0.20
O4 0.652 0.826 0.806  0.20
O5 0.174 0.348 0.806  0.20
O6 0.174 0.826 0.806  0.20
O7 0.333 0.667 0.515  0.39
O8 0.667 0.333 0.485  0.39
V1 0.333 0.667 0.734  -0.18
V2 0.667 0.333 0.266  -0.18
K1 0.000 0.000 0.500  0.00
Nd1 0.000 0.000 0.000  -0.01